Computed, not measured: TaAs2SeN at its PBEsol-relaxed geometry at the SCAN level of DFT.

abc: 4.1386 4.1386 4.4641
angles: 90.00 90.00 90.00
Space group P4/mmm (No. 123)
Unique sites:
Ta1 0.0000 0.0000 0.0000 (multiplicity 1)
As1 0.0000 0.5000 0.5000 (multiplicity 2)
Se1 0.5000 0.5000 0.0000 (multiplicity 1)
N1 0.5000 0.5000 0.5000 (multiplicity 1)

Computed properties:
N(E_F): 2.13 states/eV/f.u.
formation energy from raw total energies: 0.848 eV per atom
raw total energy: -26.419 eV per atom